1.
This record from the Alexandria database describes ReAgW2 after structural relaxation. The functional is PBE-GGA.

Computed properties:
* volume: 65.08 Å³ per cell
* total magnetization: 0.00 μB/f.u.
* ΔH_f (0 K): 552 meV per atom
* energy: -9.75 eV/atom

a b c (Å): 5.307 5.307 5.307
angles (deg): 145.07 129.76 62.65
Positions (direct):
Re 0.234 0.734 0.500
Ag 0.500 0.500 0.000
W 0.002 0.002 0.000
W 0.765 0.265 0.500

2.
This record from the Alexandria database describes ReAgW2 after structural relaxation. The functional is PBE-GGA.

Computed properties:
* volume: 64.79 Å³ per cell
* total magnetization: 0.00 μB/f.u.
* ΔH_f (0 K): 467 meV per atom
* energy: -9.83 eV/atom

a b c (Å): 2.841 4.007 5.691
angles (deg): 90.00 90.00 90.00
Positions (direct):
Re 0.500 0.500 0.750
Ag 0.500 0.500 0.250
W 0.000 0.000 0.978
W 0.000 0.000 0.522

3.
This record from the Alexandria database describes ReAgW4 after structural relaxation. The functional is PBE-GGA.

Computed properties:
* volume: 101.51 Å³ per cell
* total magnetization: 0.00 μB/f.u.
* ΔH_f (0 K): 586 meV per atom
* energy: -10.60 eV/atom

a b c (Å): 5.236 5.236 5.236
angles (deg): 60.00 60.00 60.00
Positions (direct):
Re 0.000 0.000 0.000
Ag 0.750 0.750 0.750
W 0.872 0.376 0.376
W 0.376 0.376 0.872
W 0.376 0.872 0.376
W 0.376 0.376 0.376

4.
This record from the Alexandria database describes ReAgW3 after structural relaxation. The functional is PBE-GGA.

Computed properties:
* volume: 108.10 Å³ per cell
* total magnetization: 0.00 μB/f.u.
* ΔH_f (0 K): 2032 meV per atom
* energy: -8.80 eV/atom

a b c (Å): 4.764 4.764 4.764
angles (deg): 90.00 90.00 90.00
Positions (direct):
Re 0.000 0.000 0.000
Ag 0.500 0.500 0.500
W 0.000 0.500 0.000
W 0.000 0.000 0.500
W 0.500 0.000 0.000

5.
This record from the Alexandria database describes ReAgW2 after structural relaxation. The functional is PBE-GGA.

Computed properties:
* volume: 65.25 Å³ per cell
* total magnetization: 0.00 μB/f.u.
* ΔH_f (0 K): 443 meV per atom
* energy: -9.86 eV/atom

a b c (Å): 9.630 9.630 9.630
angles (deg): 16.82 16.82 16.82
Positions (direct):
Re 0.750 0.750 0.750
Ag 0.250 0.250 0.250
W 0.005 0.005 0.005
W 0.495 0.495 0.495

6.
This record from the Alexandria database describes Re2Ag2W after structural relaxation. The functional is PBE-GGA.

Computed properties:
* volume: 166.15 Å³ per cell
* total magnetization: 0.00 μB/f.u.
* ΔH_f (0 K): 1233 meV per atom
* energy: -7.48 eV/atom

a b c (Å): 7.824 7.824 2.715
angles (deg): 90.00 90.00 90.00
Positions (direct):
Re 0.179 0.679 0.500
Re 0.679 0.821 0.500
Re 0.821 0.321 0.500
Re 0.321 0.179 0.500
Ag 0.380 0.880 0.000
Ag 0.880 0.620 0.000
Ag 0.620 0.120 0.000
Ag 0.120 0.380 0.000
W 0.000 0.000 0.000
W 0.500 0.500 0.000